Entry from the Open Quantum Materials Database: an optimized crystal structure of DyGaNO (PBE).

Lattice parameters (Å, degrees): 4.184 4.957 5.320 90.00 90.00 90.00
Atoms (fractional coordinates):
Dy 0.000 0.461 0.273
Dy 0.000 0.961 0.727
Ga 0.500 0.973 0.235
Ga 0.500 0.473 0.765
N 0.000 0.948 0.293
N 0.000 0.448 0.707
O 0.500 0.371 0.130
O 0.500 0.871 0.870

- E above lowest polymorph: 0 meV/atom
- Total magnetization: 0.0 μB per cell
- V: 110.3 Å³ per cell



Entry from the Open Quantum Materials Database: an optimized crystal structure of AlAgTeSe (PBE).

Lattice parameters (Å, degrees): 6.235 6.235 7.170 114.87 114.87 90.05
Atoms (fractional coordinates):
Ag 0.753 0.019 0.500
Ag 0.019 0.753 0.000
Al 0.477 0.253 0.000
Al 0.253 0.477 0.500
Se 0.373 0.154 0.250
Se 0.154 0.373 0.750
Te 0.873 0.598 0.250
Te 0.598 0.873 0.750

- E above lowest polymorph: 0 meV/atom
- V: 224.0 Å³ per cell



Entry from the Open Quantum Materials Database: an optimized crystal structure of Ba2AlCu (PBE).

Lattice parameters (Å, degrees): 5.466 5.466 5.466 60.00 60.00 60.00
Atoms (fractional coordinates):
Al 0.750 0.750 0.750
Ba 0.250 0.250 0.250
Ba 0.500 0.500 0.500
Cu 0.000 0.000 0.000

- E: -10.6 eV/cell
- V: 115.5 Å³ per cell



Entry from the Open Quantum Materials Database: an optimized crystal structure of SrScTe2AuS (PBE).

Lattice parameters (Å, degrees): 7.466 7.466 10.474 90.00 90.00 147.17
Atoms (fractional coordinates):
Au 0.521 0.479 0.250
Au 0.479 0.521 0.750
S 0.924 0.076 0.250
S 0.076 0.924 0.750
Sc 0.000 0.000 0.000
Sc 0.000 0.000 0.500
Sr 0.267 0.733 0.250
Sr 0.733 0.267 0.750
Te 0.644 0.356 0.049
Te 0.644 0.356 0.451
Te 0.356 0.644 0.549
Te 0.356 0.644 0.951

- Total magnetization: 0.0 μB per cell
- E: -57.2 eV/cell
- V: 316.5 Å³ per cell



Entry from the Open Quantum Materials Database: an optimized crystal structure of Nb2CuB (PBE).

Lattice parameters (Å, degrees): 4.325 4.325 4.325 60.00 60.00 60.00
Atoms (fractional coordinates):
B 0.500 0.500 0.500
Cu 0.250 0.250 0.250
Nb 0.000 0.000 0.000
Nb 0.750 0.750 0.750

- Total magnetization: 0.0 μB per cell
- E: -27.2 eV/cell
- V: 57.2 Å³ per cell



Entry from the Open Quantum Materials Database: an optimized crystal structure of GdPaBi (PBE).

Lattice parameters (Å, degrees): 5.331 5.331 5.331 60.00 60.00 60.00
Atoms (fractional coordinates):
Bi 0.250 0.250 0.250
Gd 0.750 0.750 0.750
Pa 0.000 0.000 0.000

- Total magnetization: 3.9 μB per cell
- E: -16.1 eV/cell
- V: 107.1 Å³ per cell



Entry from the Open Quantum Materials Database: an optimized crystal structure of MgUAs (PBE).

Lattice parameters (Å, degrees): 4.692 4.692 4.692 60.00 60.00 60.00
Atoms (fractional coordinates):
As 0.000 0.000 0.000
Mg 0.250 0.250 0.250
U 0.750 0.750 0.750

- Total magnetization: 3.4 μB per cell
- E: -17.3 eV/cell
- V: 73.0 Å³ per cell



Entry from the Open Quantum Materials Database: an optimized crystal structure of TcS (PBE).

Lattice parameters (Å, degrees): 3.698 3.698 3.698 60.00 60.00 60.00
Atoms (fractional coordinates):
S 0.000 0.000 0.000
Tc 0.250 0.250 0.250

- E above lowest polymorph: 0 meV/atom
- Total magnetization: 0.0 μB per cell
- V: 35.7 Å³ per cell



Entry from the Open Quantum Materials Database: an optimized crystal structure of HfNbSi2Ni (PBE).

Lattice parameters (Å, degrees): 5.145 5.145 9.306 116.15 116.15 43.90
Atoms (fractional coordinates):
Hf 0.992 0.992 0.320
Hf 0.008 0.008 0.680
Nb 0.189 0.189 0.100
Nb 0.811 0.811 0.900
Ni 0.714 0.714 0.349
Ni 0.286 0.286 0.651
Si 0.474 0.474 0.112
Si 0.352 0.352 0.432
Si 0.648 0.648 0.568
Si 0.526 0.526 0.888

- E above lowest polymorph: 0 meV/atom
- Total magnetization: 0.0 μB per cell
- V: 150.3 Å³ per cell



Entry from the Open Quantum Materials Database: an optimized crystal structure of Ta4Sn3W2N3 (PBE).

Lattice parameters (Å, degrees): 5.683 5.683 13.861 101.69 101.69 58.56
Atoms (fractional coordinates):
N 0.000 0.500 0.000
N 0.673 0.154 0.002
N 0.846 0.327 0.498
N 0.500 0.000 0.500
N 0.154 0.673 0.502
N 0.327 0.846 0.998
Sn 0.415 0.255 0.248
Sn 0.087 0.913 0.250
Sn 0.745 0.585 0.252
Sn 0.255 0.415 0.748
Sn 0.913 0.087 0.750
Sn 0.585 0.745 0.752
Ta 0.010 0.210 0.080
Ta 0.696 0.842 0.080
Ta 0.158 0.304 0.420
Ta 0.790 0.990 0.420
Ta 0.210 0.010 0.580
Ta 0.842 0.696 0.580
Ta 0.304 0.158 0.920
Ta 0.990 0.790 0.920
W 0.382 0.534 0.082
W 0.466 0.618 0.418
W 0.534 0.382 0.582
W 0.618 0.466 0.918

- Total magnetization: 0.0 μB per cell
- E: -223.9 eV/cell
- V: 371.4 Å³ per cell



Entry from the Open Quantum Materials Database: an optimized crystal structure of Zr2Co21B6 (PBE).

Lattice parameters (Å, degrees): 7.485 7.485 7.485 120.00 90.00 120.00
Atoms (fractional coordinates):
B 0.274 0.000 0.274
B 0.726 0.000 0.274
B 0.274 0.547 0.274
B 0.274 0.000 0.726
B 0.726 0.000 0.726
B 0.726 0.453 0.726
Co 0.000 0.000 0.000
Co 0.337 0.000 0.000
Co 0.663 0.000 0.000
Co 0.000 0.337 0.000
Co 0.337 0.337 0.000
Co 0.000 0.663 0.000
Co 0.663 0.663 0.000
Co 0.386 0.772 0.159
Co 0.000 0.000 0.337
Co 0.000 0.337 0.337
Co 0.337 0.337 0.337
Co 0.614 0.228 0.386
Co 0.159 0.772 0.386
Co 0.614 0.772 0.386
Co 0.386 0.228 0.614
Co 0.841 0.228 0.614
Co 0.386 0.772 0.614
Co 0.000 0.000 0.663
Co 0.000 0.663 0.663
Co 0.663 0.663 0.663
Co 0.614 0.228 0.841
Zr 0.750 0.500 0.250
Zr 0.250 0.500 0.750

- Total magnetization: 19.6 μB per cell
- E: -214.3 eV/cell
- V: 296.5 Å³ per cell



Entry from the Open Quantum Materials Database: an optimized crystal structure of HfNbZn2 (PBE).

Lattice parameters (Å, degrees): 4.647 4.647 4.647 60.00 60.00 60.00
Atoms (fractional coordinates):
Hf 0.250 0.250 0.250
Nb 0.500 0.500 0.500
Zn 0.000 0.000 0.000
Zn 0.750 0.750 0.750

- Total magnetization: 1.6 μB per cell
- E: -21.3 eV/cell
- V: 71.0 Å³ per cell